# Ac8Co3I4Br PBE relaxed
data_Ac8Co3I4Br
_chemical_formula_sum 'Ac24 Co9 I12 Br3'
_symmetry_space_group_name_H-M 'R -3 m'
_symmetry_Int_Tables_number 166
_symmetry_space_group_name_Hall '-R 3 2"'
_cell_length_a 8.8183
_cell_length_b 8.8183
_cell_length_c 25.7199
_cell_angle_alpha 90.00
_cell_angle_beta 90.00
_cell_angle_gamma 120.00
loop_
_atom_site_label
_atom_site_type_symbol
_atom_site_fract_x
_atom_site_fract_y
_atom_site_fract_z
_atom_site_occupancy
Ac1 Ac 0.0000 0.0000 0.2266 1
Ac2 Ac 0.0305 0.5152 0.7705 1
Co1 Co 0.0000 0.5000 0.5000 1
I1 I 0.0000 0.0000 0.0000 1
I2 I 0.0000 0.5000 0.0000 1
Br1 Br 0.0000 0.0000 0.5000 1
# E = -4.5874 eV/atom
# Magnetization = 0.00 μB/f.u.
# Energy relative to the elements, uncorrected = -11.3 eV per formula unit
# N(E_F) = 28.6 states/eV/cell

# Ac4CoI2Br PBE relaxed
data_Ac4CoI2Br
_chemical_formula_sum 'Ac4 Co1 I2 Br1'
_symmetry_space_group_name_H-M 'P 1 2/m 1'
_symmetry_Int_Tables_number 10
_cell_length_a 8.254
_cell_length_b 4.310
_cell_length_c 8.780
_cell_angle_alpha 90.00
_cell_angle_beta 106.33
_cell_angle_gamma 90.00
loop_
_symmetry_equiv_pos_as_xyz
'x,y,z'
'-x,-y,-z'
'-x,y,-z'
'x,-y,z'
loop_
_atom_site_label
_atom_site_type_symbol
_atom_site_fract_x
_atom_site_fract_y
_atom_site_fract_z
_atom_site_occupancy
Ac1 Ac 0.191 0.000 0.186 1
Ac2 Ac 0.228 0.500 0.798 1
Co1 Co 0.000 0.500 0.000 1
I1 I 0.000 0.000 0.500 1
I2 I 0.500 0.500 0.500 1
Br1 Br 0.500 0.000 0.000 1
# E = -4.3559 eV/atom
# Magnetization = 0.00 μB/f.u.
# Energy relative to the elements, uncorrected = -6.5 eV per formula unit
# N(E_F) = 5.5 states/eV/cell

# Ac3CoIBr PBE relaxed
data_Ac3CoIBr
_chemical_formula_sum 'Ac6 Co2 I2 Br2'
_symmetry_space_group_name_H-M 'P 1 21/m 1'
_symmetry_Int_Tables_number 11
_cell_length_a 10.313
_cell_length_b 4.282
_cell_length_c 10.653
_cell_angle_alpha 90.00
_cell_angle_beta 93.30
_cell_angle_gamma 90.00
loop_
_symmetry_equiv_pos_as_xyz
'x,y,z'
'-x,-y,-z'
'-x,y+1/2,-z'
'x,-y+1/2,z'
loop_
_atom_site_label
_atom_site_type_symbol
_atom_site_fract_x
_atom_site_fract_y
_atom_site_fract_z
_atom_site_occupancy
Ac1 Ac 0.076 0.250 0.369 1
Ac2 Ac 0.136 0.250 0.901 1
Ac3 Ac 0.317 0.750 0.638 1
Co1 Co 0.124 0.250 0.643 1
I1 I 0.390 0.750 0.330 1
Br1 Br 0.367 0.750 0.932 1
# E = -4.5665 eV/atom
# Magnetization = 0.00 μB/f.u.
# Energy relative to the elements, uncorrected = -4.7 eV per formula unit
# N(E_F) = 7.9 states/eV/cell

# Ac6InCo2Br3 PBE relaxed
data_Ac6InCo2Br3
_chemical_formula_sum 'Ac12 In2 Co4 Br6'
_symmetry_space_group_name_H-M 'C 1 2/m 1'
_symmetry_Int_Tables_number 12
_cell_length_a 21.264
_cell_length_b 4.269
_cell_length_c 9.810
_cell_angle_alpha 90.00
_cell_angle_beta 108.29
_cell_angle_gamma 90.00
loop_
_symmetry_equiv_pos_as_xyz
'x,y,z'
'-x,-y,-z'
'-x,y,-z'
'x,-y,z'
'x+1/2,y+1/2,z'
'-x+1/2,-y+1/2,-z'
'-x+1/2,y+1/2,-z'
'x+1/2,-y+1/2,z'
loop_
_atom_site_label
_atom_site_type_symbol
_atom_site_fract_x
_atom_site_fract_y
_atom_site_fract_z
_atom_site_occupancy
Ac1 Ac 0.034 0.000 0.272 1
Ac2 Ac 0.167 0.500 0.136 1
Ac3 Ac 0.186 0.500 0.560 1
In1 In 0.000 0.500 0.000 1
Co1 Co 0.173 0.000 0.346 1
Br1 Br 0.000 0.500 0.500 1
Br2 Br 0.170 0.000 0.847 1
# E = -4.6366 eV/atom
# Magnetization = 0.00 μB/f.u.
# Energy relative to the elements, uncorrected = -9.0 eV per formula unit
# N(E_F) = 13.3 states/eV/cell